1.
VASP calculation (SCAN) on a crystal of NaGeN relaxed with PBEsol.

a = 3.0629 Å, b = 3.0629 Å, c = 10.4079 Å
α = 90.00°, β = 90.00°, γ = 120.00°
Element x y z (fractional)
Na 0.3333 0.6667 0.0000
Na 0.6667 0.3333 0.5000
Ge 0.0000 0.0000 0.2465
Ge 0.0000 0.0000 0.7465
N 0.3333 0.6667 0.3355
N 0.6667 0.3333 0.8355

Values from the calculation:
Formation energy (no corrections) (eV/f.u.): -0.71
Final energy (eV/atom): -11.102
SG: P6_3mc, No. 186
Magnetization (μB per cell): 0.00

---

2.
VASP calculation (SCAN) on a crystal of Ce3ZrO8 relaxed with PBEsol.

a = 7.5369 Å, b = 7.5369 Å, c = 5.3363 Å
α = 90.23°, β = 90.23°, γ = 90.26°
Element x y z (fractional)
Ce 0.1265 0.8735 0.7500
Ce 0.1307 0.3781 0.7566
Ce 0.3781 0.1307 0.2566
Ce 0.6219 0.8693 0.7434
Ce 0.8693 0.6219 0.2434
Ce 0.8735 0.1265 0.2500
Zr 0.3721 0.6279 0.2500
Zr 0.6279 0.3721 0.7500
O 0.1211 0.1335 0.4976
O 0.1224 0.6307 0.9923
O 0.1335 0.1211 0.9976
O 0.1425 0.6153 0.4778
O 0.3693 0.8776 0.5077
O 0.3705 0.3927 0.0378
O 0.3847 0.8575 0.0222
O 0.3927 0.3705 0.5378
O 0.6073 0.6295 0.4622
O 0.6153 0.1425 0.9778
O 0.6295 0.6073 0.9622
O 0.6307 0.1224 0.4923
O 0.8575 0.3847 0.5222
O 0.8665 0.8789 0.0024
O 0.8776 0.3693 0.0077
O 0.8789 0.8665 0.5024

Values from the calculation:
Formation energy (no corrections) (eV/f.u.): -44.94
Final energy (eV/atom): -21.599
SG: C2/c, No. 15
Magnetization (μB per cell): 0.00

---

3.
VASP calculation (SCAN) on a crystal of FeTcP2 relaxed with PBEsol.

a = 2.8690 Å, b = 2.8690 Å, c = 21.2251 Å
α = 90.00°, β = 90.00°, γ = 120.00°
Element x y z (fractional)
Fe 0.0000 0.0000 0.0000
Fe 0.3333 0.6667 0.6667
Fe 0.6667 0.3333 0.3333
Tc 0.0000 0.0000 0.2339
Tc 0.3333 0.6667 0.9005
Tc 0.6667 0.3333 0.5672
P 0.0000 0.0000 0.4896
P 0.0000 0.0000 0.7345
P 0.3333 0.6667 0.1563
P 0.3333 0.6667 0.4012
P 0.6667 0.3333 0.0679
P 0.6667 0.3333 0.8229

Values from the calculation:
Final energy (eV/atom): -18.490
SG: R3m, No. 160
Formation energy (meV/atom): 7.1
Magnetization (μB per cell): 6.56

---

4.
VASP calculation (SCAN) on a crystal of YCuP3 relaxed with PBEsol.

a = 4.4872 Å, b = 4.4872 Å, c = 4.4872 Å
α = 90.00°, β = 90.00°, γ = 90.00°
Element x y z (fractional)
Y 0.0000 0.0000 0.0000
Cu 0.5000 0.5000 0.5000
P 0.0000 0.5000 0.5000
P 0.5000 0.0000 0.5000
P 0.5000 0.5000 0.0000

Values from the calculation:
Final energy (eV/atom): -14.876
SG: Pm-3m, No. 221
Formation energy (meV/atom): -28.4
Magnetization (μB per cell): 0.00

---

5.
VASP calculation (SCAN) on a crystal of TaFeTc2Ni relaxed with PBEsol.

a = 4.3350 Å, b = 4.3350 Å, c = 4.4343 Å
α = 90.00°, β = 90.00°, γ = 90.00°
Element x y z (fractional)
Ta 0.0000 0.0000 0.0000
Fe 0.5000 0.5000 0.0000
Tc 0.0000 0.5000 0.5000
Tc 0.5000 0.0000 0.5000
Ni 0.0000 0.0000 0.5000

Values from the calculation:
Final energy (eV/atom): -32.851
SG: P4/mmm, No. 123
Formation energy (meV/atom): 1349.9
Magnetization (μB per cell): 4.22

---

6.
VASP calculation (SCAN) on a crystal of LaMoOsSe2 relaxed with PBEsol.

a = 4.8432 Å, b = 4.8432 Å, c = 4.7536 Å
α = 90.00°, β = 90.00°, γ = 90.00°
Element x y z (fractional)
La 0.0000 0.0000 0.0000
Mo 0.5000 0.5000 0.5000
Os 0.5000 0.5000 0.0000
Se 0.0000 0.5000 0.5000
Se 0.5000 0.0000 0.5000

Values from the calculation:
Formation energy (no corrections) (eV/f.u.): -0.46
Final energy (eV/atom): -38.097
SG: P4/mmm, No. 123
Magnetization (μB per cell): 0.00

---

7.
VASP calculation (SCAN) on a crystal of Cu2PCl4 relaxed with PBEsol.

a = 11.8937 Å, b = 9.2606 Å, c = 6.5102 Å
α = 90.00°, β = 90.00°, γ = 90.00°
Element x y z (fractional)
Cu 0.0479 0.2500 0.1245
Cu 0.2360 0.2500 0.6124
Cu 0.2640 0.7500 0.1124
Cu 0.4521 0.7500 0.6245
Cu 0.5479 0.2500 0.3755
Cu 0.7360 0.2500 0.8876
Cu 0.7640 0.7500 0.3876
Cu 0.9521 0.7500 0.8755
P 0.2081 0.2500 0.9509
P 0.2919 0.7500 0.4509
P 0.7081 0.2500 0.5491
P 0.7919 0.7500 0.0491
Cl 0.0759 0.2500 0.4512
Cl 0.0808 0.7500 0.1080
Cl 0.2047 0.5780 0.5726
Cl 0.2047 0.9220 0.5726
Cl 0.2953 0.0780 0.0726
Cl 0.2953 0.4220 0.0726
Cl 0.4192 0.2500 0.6080
Cl 0.4241 0.7500 0.9512
Cl 0.5759 0.2500 0.0488
Cl 0.5808 0.7500 0.3920
Cl 0.7047 0.5780 0.9274
Cl 0.7047 0.9220 0.9274
Cl 0.7953 0.0780 0.4274
Cl 0.7953 0.4220 0.4274
Cl 0.9192 0.2500 0.8920
Cl 0.9241 0.7500 0.5488

Values from the calculation:
Formation energy (no corrections) (eV/f.u.): -3.56
Final energy (eV/atom): -10.896
SG: Pnma, No. 62
Magnetization (μB per cell): 0.00

---

8.
VASP calculation (SCAN) on a crystal of YCd2Si relaxed with PBEsol.

a = 4.2226 Å, b = 3.3645 Å, c = 11.9730 Å
α = 90.00°, β = 90.00°, γ = 90.00°
Element x y z (fractional)
Y 0.0000 0.0000 0.0000
Y 0.0000 0.5000 0.5000
Cd 0.0000 0.0000 0.7321
Cd 0.0000 0.5000 0.2321
Cd 0.5000 0.0000 0.3381
Cd 0.5000 0.5000 0.8381
Si 0.5000 0.0000 0.5814
Si 0.5000 0.5000 0.0814

Values from the calculation:
Formation energy (no corrections) (eV/f.u.): -0.94
Final energy (eV/atom): -24.906
SG: Amm2, No. 38
Magnetization (μB per cell): 0.00

---

9.
VASP calculation (SCAN) on a crystal of AlCd2Co relaxed with PBEsol.

a = 2.9788 Å, b = 2.9788 Å, c = 7.2306 Å
α = 90.00°, β = 90.00°, γ = 90.00°
Element x y z (fractional)
Al 0.0000 0.0000 0.0000
Cd 0.0000 0.0000 0.6009
Cd 0.5000 0.5000 0.2902
Co 0.5000 0.5000 0.8469

Values from the calculation:
Final energy (eV/atom): -21.493
SG: P4mm, No. 99
Formation energy (meV/atom): -21.6
Magnetization (μB per cell): 0.65

---

10.
VASP calculation (SCAN) on a crystal of CuAsN3 relaxed with PBEsol.

a = 3.7441 Å, b = 3.7441 Å, c = 3.7441 Å
α = 90.00°, β = 90.00°, γ = 90.00°
Element x y z (fractional)
Cu 0.0000 0.0000 0.0000
As 0.5000 0.5000 0.5000
N 0.0000 0.0000 0.5000
N 0.0000 0.5000 0.0000
N 0.5000 0.0000 0.0000

Values from the calculation:
Formation energy (no corrections) (eV/f.u.): 9.83
Final energy (eV/atom): -10.687
SG: Pm-3m, No. 221
Magnetization (μB per cell): 2.97

---

11.
VASP calculation (SCAN) on a crystal of ZrTl2Pb relaxed with PBEsol.

a = 3.3691 Å, b = 5.3362 Å, c = 11.0389 Å
α = 90.00°, β = 90.00°, γ = 90.00°
Element x y z (fractional)
Zr 0.0000 0.0000 0.0000
Zr 0.5000 0.5000 0.5000
Tl 0.0000 0.5000 0.2628
Tl 0.0000 0.5000 0.7372
Tl 0.5000 0.0000 0.2372
Tl 0.5000 0.0000 0.7628
Pb 0.0000 0.0000 0.5000
Pb 0.5000 0.5000 0.0000

Values from the calculation:
Final energy (eV/atom): -62.802
SG: Immm, No. 71
Formation energy (meV/atom): -3.3
Magnetization (μB per cell): 0.00

---

12.
VASP calculation (SCAN) on a crystal of Ir4Pt5 relaxed with PBEsol.

a = 6.1384 Å, b = 6.1384 Å, c = 6.1384 Å
α = 95.70°, β = 95.70°, γ = 143.26°
Element x y z (fractional)
Ir 0.0000 0.3407 0.3407
Ir 0.0000 0.6593 0.6593
Ir 0.3407 0.0000 0.3407
Ir 0.6593 0.0000 0.6593
Pt 0.0000 0.0000 0.0000
Pt 0.3322 0.3322 0.6645
Pt 0.3322 0.6678 0.0000
Pt 0.6678 0.3322 0.0000
Pt 0.6678 0.6678 0.3355

Values from the calculation:
Final energy (eV/atom): -70.493
SG: I4/mmm, No. 139
Formation energy (meV/atom): 102.6
Magnetization (μB per cell): 0.00

---

13.
VASP calculation (SCAN) on a crystal of AgO2F2 relaxed with PBEsol.

a = 3.9939 Å, b = 3.9939 Å, c = 4.0138 Å
α = 90.00°, β = 90.00°, γ = 90.00°
Element x y z (fractional)
Ag 0.0000 0.0000 0.0000
O 0.0000 0.5000 0.0000
O 0.5000 0.0000 0.0000
F 0.0000 0.0000 0.5000
F 0.5000 0.5000 0.5000

Values from the calculation:
Formation energy (no corrections) (eV/f.u.): 1.72
Final energy (eV/atom): -9.837
SG: P4/mmm, No. 123
Magnetization (μB per cell): 3.12

---

14.
VASP calculation (SCAN) on a crystal of CaTeRu4 relaxed with PBEsol.

a = 5.2161 Å, b = 5.2161 Å, c = 5.2161 Å
α = 60.00°, β = 60.00°, γ = 60.00°
Element x y z (fractional)
Ca 0.0000 0.0000 0.0000
Te 0.2500 0.2500 0.2500
Ru 0.1273 0.6242 0.6242
Ru 0.6242 0.1273 0.6242
Ru 0.6242 0.6242 0.1273
Ru 0.6242 0.6242 0.6242

Values from the calculation:
Formation energy (no corrections) (eV/f.u.): 1.98
Final energy (eV/atom): -30.707
SG: F-43m, No. 216
Magnetization (μB per cell): 3.12

---

15.
VASP calculation (SCAN) on a crystal of TcSbAu relaxed with PBEsol.

a = 3.3232 Å, b = 3.3232 Å, c = 9.5662 Å
α = 90.00°, β = 90.00°, γ = 90.00°
Element x y z (fractional)
Tc 0.0000 0.0000 0.0000
Tc 0.5000 0.5000 0.5000
Sb 0.0000 0.0000 0.3605
Sb 0.5000 0.5000 0.8605
Au 0.0000 0.0000 0.6769
Au 0.5000 0.5000 0.1769

Values from the calculation:
Formation energy (no corrections) (eV/f.u.): 1.12
Final energy (eV/atom): -46.785
SG: I4mm, No. 107
Magnetization (μB per cell): 1.72

---

16.
VASP calculation (SCAN) on a crystal of Zr6Al16Rh7 relaxed with PBEsol.

a = 8.6434 Å, b = 8.6434 Å, c = 8.6434 Å
α = 60.00°, β = 60.00°, γ = 60.00°
Element x y z (fractional)
Zr 0.1889 0.1889 0.8111
Zr 0.1889 0.8111 0.1889
Zr 0.1889 0.8111 0.8111
Zr 0.8111 0.1889 0.1889
Zr 0.8111 0.1889 0.8111
Zr 0.8111 0.8111 0.1889
Al 0.1412 0.6196 0.6196
Al 0.1627 0.1627 0.1627
Al 0.1627 0.1627 0.5118
Al 0.1627 0.5118 0.1627
Al 0.3804 0.3804 0.3804
Al 0.3804 0.3804 0.8588
Al 0.3804 0.8588 0.3804
Al 0.4882 0.8373 0.8373
Al 0.5118 0.1627 0.1627
Al 0.6196 0.1412 0.6196
Al 0.6196 0.6196 0.1412
Al 0.6196 0.6196 0.6196
Al 0.8373 0.4882 0.8373
Al 0.8373 0.8373 0.4882
Al 0.8373 0.8373 0.8373
Al 0.8588 0.3804 0.3804
Rh 0.0000 0.0000 0.5000
Rh 0.0000 0.5000 0.0000
Rh 0.0000 0.5000 0.5000
Rh 0.5000 0.0000 0.0000
Rh 0.5000 0.0000 0.5000
Rh 0.5000 0.5000 0.0000
Rh 0.5000 0.5000 0.5000

Values from the calculation:
Final energy (eV/atom): -19.778
SG: Fm-3m, No. 225
Formation energy (meV/atom): -997.4
Magnetization (μB per cell): 1.52

---

17.
VASP calculation (SCAN) on a crystal of Sb relaxed with PBEsol.

a = 3.7235 Å, b = 3.7235 Å, c = 3.7235 Å
α = 90.00°, β = 90.00°, γ = 90.00°
Element x y z (fractional)
Sb 0.0000 0.0000 0.0000
Sb 0.5000 0.5000 0.5000

Values from the calculation:
Formation energy (no corrections) (eV/f.u.): 0.25
Final energy (eV/atom): -37.008
SG: Im-3m, No. 229
Magnetization (μB per cell): 0.00

---

18.
VASP calculation (SCAN) on a crystal of CuAg2Te relaxed with PBEsol.

a = 6.6561 Å, b = 6.6561 Å, c = 6.6561 Å
α = 90.00°, β = 90.00°, γ = 90.00°
Element x y z (fractional)
Cu 0.0000 0.0000 0.0000
Cu 0.0000 0.5000 0.5000
Cu 0.5000 0.0000 0.5000
Cu 0.5000 0.5000 0.0000
Ag 0.2500 0.2500 0.2500
Ag 0.2500 0.2500 0.7500
Ag 0.2500 0.7500 0.2500
Ag 0.2500 0.7500 0.7500
Ag 0.7500 0.2500 0.2500
Ag 0.7500 0.2500 0.7500
Ag 0.7500 0.7500 0.2500
Ag 0.7500 0.7500 0.7500
Te 0.0000 0.0000 0.5000
Te 0.0000 0.5000 0.0000
Te 0.5000 0.0000 0.0000
Te 0.5000 0.5000 0.5000

Values from the calculation:
Formation energy (no corrections) (eV/f.u.): 1.18
Final energy (eV/atom): -28.501
SG: Fm-3m, No. 225
Magnetization (μB per cell): 0.00

---

19.
VASP calculation (SCAN) on a crystal of Nd4CdNi relaxed with PBEsol.

a = 9.6635 Å, b = 9.6635 Å, c = 9.6635 Å
α = 60.00°, β = 60.00°, γ = 60.00°
Element x y z (fractional)
Nd 0.0580 0.0580 0.4420
Nd 0.0580 0.4420 0.0580
Nd 0.0580 0.4420 0.4420
Nd 0.1876 0.1876 0.8124
Nd 0.1876 0.8124 0.1876
Nd 0.1876 0.8124 0.8124
Nd 0.2064 0.5979 0.5979
Nd 0.4420 0.0580 0.0580
Nd 0.4420 0.0580 0.4420
Nd 0.4420 0.4420 0.0580
Nd 0.5979 0.2064 0.5979
Nd 0.5979 0.5979 0.2064
Nd 0.5979 0.5979 0.5979
Nd 0.8124 0.1876 0.1876
Nd 0.8124 0.1876 0.8124
Nd 0.8124 0.8124 0.1876
Cd 0.5123 0.8292 0.8292
Cd 0.8292 0.5123 0.8292
Cd 0.8292 0.8292 0.5123
Cd 0.8292 0.8292 0.8292
Ni 0.3925 0.3925 0.3925
Ni 0.3925 0.3925 0.8226
Ni 0.3925 0.8226 0.3925
Ni 0.8226 0.3925 0.3925

Values from the calculation:
Final energy (eV/atom): -37.112
SG: F-43m, No. 216
Formation energy (meV/atom): -292.9
Magnetization (μB per cell): 0.00

---

20.
VASP calculation (SCAN) on a crystal of ZnCd2Si relaxed with PBEsol.

a = 6.6848 Å, b = 6.6848 Å, c = 6.6848 Å
α = 90.00°, β = 90.00°, γ = 90.00°
Element x y z (fractional)
Zn 0.0000 0.0000 0.0000
Zn 0.0000 0.5000 0.5000
Zn 0.5000 0.0000 0.5000
Zn 0.5000 0.5000 0.0000
Cd 0.0000 0.0000 0.5000
Cd 0.0000 0.5000 0.0000
Cd 0.2500 0.2500 0.7500
Cd 0.2500 0.7500 0.2500
Cd 0.5000 0.0000 0.0000
Cd 0.5000 0.5000 0.5000
Cd 0.7500 0.2500 0.2500
Cd 0.7500 0.7500 0.7500
Si 0.2500 0.2500 0.2500
Si 0.2500 0.7500 0.7500
Si 0.7500 0.2500 0.7500
Si 0.7500 0.7500 0.2500

Values from the calculation:
Formation energy (no corrections) (eV/f.u.): 1.73
Final energy (eV/atom): -20.658
SG: F-43m, No. 216
Magnetization (μB per cell): 0.00